Below is crystalline Ti2Co2Br2O5 at its relaxed geometry, with properties calculated at the PBE with a Hubbard U level.

Values from the calculation:
E = -74.689 eV for the cell shown
Spin magnetization = 6.0 μB per formula unit

abc: 3.7084 3.7084 13.7442
angles: 97.75 97.75 90.00
Closest atoms and distances in Å follow each position.
Positions (direct):
Ti (0.0673, 0.0673, 0.1346)  5 O 1.82-1.93
Ti (0.9327, 0.9327, 0.8654)  5 O 1.82-1.93
Co (0.3699, 0.3699, 0.7399)  4 O 2.19
Co (0.6301, 0.6301, 0.2601)  4 O 2.19
Br (0.1836, 0.1836, 0.3671)  4 Co 2.99, 1 Ti 3.14, 4 O 3.20
Br (0.8164, 0.8164, 0.6329)  4 Co 2.99, 1 Ti 3.14, 4 O 3.20
O (0.0000, 0.0000, 0.0000)  2 Ti 1.82
O (0.5867, 0.0867, 0.1735)  2 Ti 1.93
O (0.9133, 0.4133, 0.8265)  2 Ti 1.93
O (0.0867, 0.5867, 0.1735)  2 Ti 1.93
O (0.4133, 0.9133, 0.8265)  2 Ti 1.93